VASP calculation (PBE-GGA) on a geometry-optimized Li4PrTh structure.

Cell lengths 8.3441, 8.3441, 8.3441 Å; angles 90.00, 90.00, 90.00 degrees
Space group F-43m (No. 216)
Asymmetric unit:
Li (0.1249, 0.1249, 0.1249) (multiplicity 16)
Pr (0.0000, 0.0000, 0.5000) (multiplicity 4)
Th (0.2500, 0.2500, 0.7500) (multiplicity 4)

Values from the calculation:
For the total magnetization, the calculation gives 0.7 μB/f.u. Its density of states at the Fermi level is 31.7 states/eV per cell. The value obtained for the calculated density is 4.6 Mg/m³. The formation energy from the elements is 198.7 meV per atom.